# 1
Pm2Ho5Er: optimized geometry, GGA-PBE.

## Properties
Its formation energy from the elements is 0.15 eV per atom. The value obtained for the polymorph energy (0 for the lowest one) is 133.6 meV per atom.

a b c (Å): 6.6489 8.8007 9.5318
angles (deg): 88.54 85.81 67.86
Positions (direct):
Pm: 0.1305 0.1108 0.0712
Pm: 0.2416 0.8898 0.5712
Pm: 0.7584 0.1102 0.4288
Pm: 0.8695 0.8892 0.9288
Ho: 0.1625 0.6729 0.2505
Ho: 0.1859 0.2569 0.3868
Ho: 0.1994 0.4832 0.9083
Ho: 0.3186 0.4832 0.5927
Ho: 0.4437 0.7434 0.8858
Ho: 0.5563 0.2566 0.1142
Ho: 0.6814 0.5168 0.4073
Ho: 0.8006 0.5168 0.0917
Ho: 0.8141 0.7431 0.6132
Ho: 0.8375 0.3271 0.7495
Er: 0.4405 0.1209 0.7504
Er: 0.5595 0.8791 0.2496

=====

# 2
Pm5Ho6Er: optimized geometry, GGA-PBE.

## Properties
Its formation energy from the elements is 0.02 eV per atom.

a b c (Å): 9.4592 9.4592 9.4592
angles (deg): 148.96 115.65 73.16
Positions (direct):
Pm: 0.0000 0.0000 0.0000
Pm: 0.1666 0.6666 0.5000
Pm: 0.3344 0.3344 0.0000
Pm: 0.6656 0.6656 0.0000
Pm: 0.8334 0.3334 0.5000
Ho: 0.0847 0.8338 0.2509
Ho: 0.2515 0.5000 0.7515
Ho: 0.4172 0.1662 0.2509
Ho: 0.5828 0.8338 0.7491
Ho: 0.7485 0.5000 0.2485
Ho: 0.9153 0.1662 0.7491
Er: 0.5000 0.0000 0.5000

=====

# 3
Pm12Ho2Er5: optimized geometry, GGA-PBE.

## Properties
Its formation energy from the elements is 0.10 eV per atom. The value obtained for the polymorph energy (0 for the lowest one) is 0.0 meV per atom.

a b c (Å): 10.6624 10.6624 6.1982
angles (deg): 100.44 100.44 66.38
Positions (direct):
Pm: 0.0454 0.5608 0.8014
Pm: 0.0562 0.0562 0.2737
Pm: 0.1480 0.6445 0.3836
Pm: 0.3555 0.8520 0.6164
Pm: 0.3801 0.3801 0.9976
Pm: 0.4392 0.9546 0.1986
Pm: 0.5608 0.0454 0.8014
Pm: 0.6199 0.6199 0.0024
Pm: 0.6445 0.1480 0.3836
Pm: 0.8520 0.3555 0.6164
Pm: 0.9438 0.9438 0.7263
Pm: 0.9546 0.4392 0.1986
Ho: 0.2692 0.7308 0.0000
Ho: 0.7308 0.2692 0.0000
Er: 0.1777 0.1777 0.8598
Er: 0.2842 0.2842 0.4456
Er: 0.5000 0.5000 0.5000
Er: 0.7158 0.7158 0.5544
Er: 0.8223 0.8223 0.1402

=====

# 4
PmHo4Er5: optimized geometry, GGA-PBE.

## Properties
Its formation energy from the elements is 0.02 eV per atom. The value obtained for the polymorph energy (0 for the lowest one) is 0.0 meV per atom.

a b c (Å): 6.0991 3.5304 14.5214
angles (deg): 90.00 98.03 90.00
Positions (direct):
Pm: 0.0000 0.0000 0.0000
Ho: 0.0994 0.5000 0.7975
Ho: 0.4008 0.0000 0.2018
Ho: 0.5992 0.0000 0.7982
Ho: 0.9006 0.5000 0.2025
Er: 0.2002 0.0000 0.5992
Er: 0.3001 0.5000 0.4011
Er: 0.5000 0.5000 0.0000
Er: 0.6999 0.5000 0.5989
Er: 0.7998 0.0000 0.4008

=====

Spin magnetization, record by record: 0.00; 0.00; 0.00; 0.00 Bohr magnetons per cell